The following is a DFT calculation (GGA-PBE) of crystalline Sr2Ni3Sn2 at its relaxed geometry.

```
Sr2Ni3Sn2
1.0
5.847 -2.131 0.000
5.847 2.131 0.000
-3.447 0.000 6.104
Sr Ni Sn
2 3 2
direct
0.141 0.141 0.268 Sr
0.859 0.859 0.732 Sr
0.411 0.411 0.085 Ni
0.500 0.500 0.500 Ni
0.589 0.589 0.915 Ni
0.148 0.148 0.767 Sn
0.852 0.852 0.233 Sn
```

Calculated values
formation energy from the elements	-0.238	eV/atom
raw total energy	-30.38	eV/cell
magnetization	0.000	Bohr magnetons per cell